NaNbSe2 | PBE-GGA | relaxed

The calculation puts the uncorrected formation energy at -0.817 eV per atom. The calculation puts the total magnetic moment at 0.000 μB/cell. As for the crystal system: tetragonal.

```
data_NaNbSe2
_chemical_formula_sum 'Na1 Nb1 Se2'
_symmetry_space_group_name_H-M 'P 4/m m m'
_symmetry_Int_Tables_number 123
_symmetry_space_group_name_Hall '-P 4 2'
_cell_length_a 3.287
_cell_length_b 3.287
_cell_length_c 7.237
_cell_angle_alpha 90.00
_cell_angle_beta 90.00
_cell_angle_gamma 90.00
loop_
_atom_site_label
_atom_site_fract_x
_atom_site_fract_y
_atom_site_fract_z
_atom_site_occupancy
Na1 0.000 0.000 0.000 1
Nb1 0.000 0.000 0.500 1
Se1 0.500 0.500 0.288 1
```

PrAl2Se4 | PBE-GGA | relaxed

The calculation puts the uncorrected formation energy at -0.945 eV per atom. The calculation puts the total magnetic moment at 2.038 μB/cell. As for the crystal system: tetragonal.

```
data_PrAl2Se4
_chemical_formula_sum 'Pr2 Al4 Se8'
_symmetry_space_group_name_H-M 'I 4/m'
_symmetry_Int_Tables_number 87
_symmetry_space_group_name_Hall '-I 4'
_cell_length_a 7.757
_cell_length_b 7.757
_cell_length_c 6.162
_cell_angle_alpha 90.00
_cell_angle_beta 90.00
_cell_angle_gamma 90.00
loop_
_atom_site_label
_atom_site_fract_x
_atom_site_fract_y
_atom_site_fract_z
_atom_site_occupancy
Pr1 0.000 0.000 0.000 1
Al1 0.000 0.500 0.250 1
Se1 0.150 0.311 0.500 1
```

Number 1 is which compound?
NaNbSe2

Please write out number 2 again, unchanged.
PrAl2Se4 | PBE-GGA | relaxed

The calculation puts the uncorrected formation energy at -0.945 eV per atom. The calculation puts the total magnetic moment at 2.038 μB/cell. As for the crystal system: tetragonal.

```
data_PrAl2Se4
_chemical_formula_sum 'Pr2 Al4 Se8'
_symmetry_space_group_name_H-M 'I 4/m'
_symmetry_Int_Tables_number 87
_symmetry_space_group_name_Hall '-I 4'
_cell_length_a 7.757
_cell_length_b 7.757
_cell_length_c 6.162
_cell_angle_alpha 90.00
_cell_angle_beta 90.00
_cell_angle_gamma 90.00
loop_
_atom_site_label
_atom_site_fract_x
_atom_site_fract_y
_atom_site_fract_z
_atom_site_occupancy
Pr1 0.000 0.000 0.000 1
Al1 0.000 0.500 0.250 1
Se1 0.150 0.311 0.500 1
```

Which of these has the highest total magnetic moment?
PrAl2Se4